Computed, not measured: an optimized crystal structure of Al2AsP at the PBE-GGA level of DFT.

a = 2.826 Å, b = 2.826 Å, c = 9.071 Å
α = 90.00°, β = 90.00°, γ = 90.00°
Positions (direct):
1 Al 0.000 0.000 0.000
2 Al 0.500 0.500 0.216
3 As 0.000 0.000 0.443
4 P 0.500 0.500 0.808

Results
For the spin magnetization, the calculation gives 0.00 μB/f.u. The value obtained for the energy above the most stable polymorph in this dataset is 0.730 eV/atom.

***

Computed, not measured: an optimized crystal structure of Li4ZrU3Se8 at the PBE-GGA level of DFT.

a = 8.074 Å, b = 8.074 Å, c = 8.074 Å
α = 58.39°, β = 58.39°, γ = 58.39°
Positions (direct):
1 Li 0.000 0.000 0.000
2 Li 0.000 0.500 0.500
3 Li 0.500 0.000 0.500
4 Li 0.500 0.500 0.000
5 Zr 0.500 0.500 0.500
6 U 0.000 0.000 0.500
7 U 0.000 0.500 0.000
8 U 0.500 0.000 0.000
9 Se 0.253 0.253 0.737
10 Se 0.253 0.737 0.253
11 Se 0.255 0.255 0.255
12 Se 0.263 0.747 0.747
13 Se 0.737 0.253 0.253
14 Se 0.745 0.745 0.745
15 Se 0.747 0.263 0.747
16 Se 0.747 0.747 0.263

Results
For the raw formation energy, the calculation gives -1.214 eV per atom. For the spin magnetization, the calculation gives 9.60 μB/f.u.

***

Computed, not measured: an optimized crystal structure of Er2CdHg3 at the PBE-GGA level of DFT.

a = 5.101 Å, b = 8.983 Å, c = 6.285 Å
α = 90.00°, β = 90.00°, γ = 90.00°
Positions (direct):
1 Er 0.000 0.162 0.000
2 Er 0.000 0.838 0.500
3 Er 0.500 0.328 0.574
4 Er 0.500 0.672 0.074
5 Cd 0.000 0.493 0.295
6 Cd 0.000 0.507 0.795
7 Hg 0.000 0.171 0.499
8 Hg 0.000 0.829 0.999
9 Hg 0.500 0.006 0.277
10 Hg 0.500 0.339 0.070
11 Hg 0.500 0.661 0.570
12 Hg 0.500 0.994 0.777

Results
For the spin magnetization, the calculation gives 0.00 μB/f.u. The value obtained for the energy above the most stable polymorph in this dataset is 0.000 eV/atom.

***

Computed, not measured: an optimized crystal structure of AlRu2Rh at the PBE-GGA level of DFT.

a = 8.997 Å, b = 2.763 Å, c = 4.600 Å
α = 90.00°, β = 101.50°, γ = 90.00°
Positions (direct):
1 Al 0.000 0.000 0.000
2 Al 0.500 0.500 0.000
3 Ru 0.249 0.500 0.248
4 Ru 0.251 0.000 0.752
5 Ru 0.749 0.000 0.248
6 Ru 0.751 0.500 0.752
7 Rh 0.000 0.500 0.500
8 Rh 0.500 0.000 0.500

Results
For the spin magnetization, the calculation gives 0.00 μB/f.u. For the electronic total energy, the calculation gives -7.66 eV per atom.